w) {"formula": "BaBe2Au", "functional": "meta-GGA SCAN", "state": "PBEsol geometry", "cell": [[3.133, 0.000, 0.000], [0.000, 3.133, 0.000], [0.000, 0.000, 7.391]], "species": ["Be", "Be", "Ba", "Au"], "fractional_positions": [[0.000, 0.000, 0.092], [0.500, 0.500, 0.246], [0.500, 0.500, 0.760], [0.000, 0.000, 0.403]]}

=====

x) {"formula": "BaBe2Au", "functional": "meta-GGA SCAN", "state": "PBEsol geometry", "cell": [[3.055, 0.000, 0.000], [0.000, 4.910, 0.000], [0.000, 0.000, 4.910]], "species": ["Be", "Au", "Be", "Ba"], "fractional_positions": [[0.000, 0.500, 0.000], [0.500, 0.500, 0.500], [0.000, 0.000, 0.500], [0.500, 0.000, 0.000]]}

=====

y) {"formula": "BaBe2Au", "functional": "meta-GGA SCAN", "state": "PBEsol geometry", "cell": [[5.083, 0.000, 0.000], [0.000, 5.083, 0.000], [-2.542, -2.542, 7.181]], "species": ["Be", "Au", "Au", "Ba", "Ba", "Be", "Be", "Be"], "fractional_positions": [[0.125, 0.375, 0.250], [0.250, 0.750, 0.500], [0.000, 0.000, 0.000], [0.500, 0.500, 0.000], [0.750, 0.250, 0.500], [0.125, 0.875, 0.250], [0.125, 0.875, 0.750], [0.625, 0.875, 0.750]]}

=====

Least stable: x)

=====

w) {"formula": "BaAuBr2", "functional": "meta-GGA SCAN", "state": "PBEsol geometry", "cell": [[-1.809, -3.725, -0.850], [3.315, -2.285, 2.957], [-3.126, 0.610, 3.975]], "species": ["Br", "Ba", "Br", "Au"], "fractional_positions": [[0.000, 0.000, 0.000], [0.500, 0.000, 0.500], [0.000, 0.500, 0.500], [0.500, 0.500, 0.000]]}

=====

x) {"formula": "BaAuBr2", "functional": "meta-GGA SCAN", "state": "PBEsol geometry", "cell": [[-0.963, -1.554, -4.779], [4.025, -2.352, -2.786], [-0.474, -5.333, -0.909]], "species": ["Ba", "Au", "Br", "Br"], "fractional_positions": [[0.500, 0.000, 0.000], [0.000, 0.500, 0.500], [0.277, 0.723, 0.723], [0.723, 0.277, 0.277]]}

=====

Least stable: w)

=====

w) {"formula": "Ba2AuBr", "functional": "meta-GGA SCAN", "state": "PBEsol geometry", "cell": [[4.664, 0.000, 0.000], [0.000, 4.664, 0.000], [0.000, 0.000, 6.667]], "species": ["Au", "Br", "Ba", "Ba"], "fractional_positions": [[0.500, 0.500, 0.500], [0.000, 0.000, 0.000], [0.500, 0.500, 0.000], [0.000, 0.000, 0.500]]}

=====

x) {"formula": "Ba2AuBr", "functional": "meta-GGA SCAN", "state": "PBEsol geometry", "cell": [[5.256, 0.000, 0.000], [2.628, 5.053, -0.007], [2.628, 1.266, 4.891]], "species": ["Ba", "Au", "Ba", "Br"], "fractional_positions": [[0.746, 0.254, 0.254], [0.000, 0.500, 0.500], [0.254, 0.746, 0.746], [0.500, 0.000, 0.000]]}

=====

y) {"formula": "Ba2AuBr", "functional": "meta-GGA SCAN", "state": "PBEsol geometry", "cell": [[4.557, 0.000, 0.000], [2.279, 3.947, 0.000], [2.279, 1.316, 8.314]], "species": ["Br", "Ba", "Au", "Ba"], "fractional_positions": [[0.000, 0.000, 0.000], [0.759, 0.759, 0.723], [0.500, 0.500, 0.500], [0.241, 0.241, 0.277]]}

=====

Least stable: x)

=====

w) {"formula": "Ba2CaAu", "functional": "meta-GGA SCAN", "state": "PBEsol geometry", "cell": [[4.454, 0.000, 0.000], [2.227, 3.857, 0.000], [2.227, 1.286, 10.665]], "species": ["Ba", "Ba", "Au", "Ca"], "fractional_positions": [[0.274, 0.274, 0.177], [0.726, 0.726, 0.823], [0.000, 0.000, 0.000], [0.500, 0.500, 0.500]]}

=====

x) {"formula": "Ba2CaAu", "functional": "meta-GGA SCAN", "state": "PBEsol geometry", "cell": [[3.892, 0.000, 0.000], [0.000, 3.892, 0.000], [0.000, 0.000, 10.167]], "species": ["Ba", "Ca", "Ba", "Au"], "fractional_positions": [[0.000, 0.000, 0.922], [0.000, 0.000, 0.581], [0.500, 0.500, 0.274], [0.500, 0.500, 0.724]]}

=====

Least stable: w)

=====

w) {"formula": "Ba2CaAu", "functional": "meta-GGA SCAN", "state": "PBEsol geometry", "cell": [[4.438, 0.000, 0.000], [2.219, 3.843, 0.000], [2.219, 1.281, 10.451]], "species": ["Ca", "Au", "Ba", "Ba"], "fractional_positions": [[0.530, 0.530, 0.409], [0.242, 0.242, 0.274], [0.758, 0.758, 0.726], [0.970, 0.970, 0.090]]}

=====

x) {"formula": "Ba2CaAu", "functional": "meta-GGA SCAN", "state": "PBEsol geometry", "cell": [[-1.953, 2.955, 2.230], [0.325, -2.941, 4.180], [6.712, 4.702, -0.351]], "species": ["Ca", "Ba", "Au", "Ba"], "fractional_positions": [[0.000, 0.667, 0.335], [0.500, 0.315, 0.631], [0.500, 0.529, 0.058], [0.000, 0.988, 0.975]]}

=====

Least stable: x)

=====

w) {"formula": "Ba2CuAu", "functional": "meta-GGA SCAN", "state": "PBEsol geometry", "cell": [[-2.113, -3.291, -1.865], [3.866, -1.765, -1.266], [-0.529, -1.406, 8.113]], "species": ["Ba", "Cu", "Ba", "Au"], "fractional_positions": [[0.247, 0.747, 0.494], [0.583, 0.583, 0.166], [0.003, 0.003, 0.007], [0.667, 0.167, 0.333]]}

=====

x) {"formula": "Ba2CuAu", "functional": "meta-GGA SCAN", "state": "PBEsol geometry", "cell": [[4.549, 0.000, 0.000], [0.000, 4.598, 0.000], [-2.275, 0.000, 6.068]], "species": ["Ba", "Cu", "Au", "Ba"], "fractional_positions": [[0.985, 0.000, 0.969], [0.569, 0.500, 0.137], [0.684, 0.000, 0.367], [0.263, 0.500, 0.526]]}

=====

Least stable: w)

=====

w) {"formula": "Ba2CuAu", "functional": "meta-GGA SCAN", "state": "PBEsol geometry", "cell": [[-1.428, 0.470, -3.585], [2.527, -4.642, -1.615], [-4.476, -2.923, 1.400]], "species": ["Ba", "Ba", "Cu", "Au"], "fractional_positions": [[0.000, 0.500, 0.000], [0.000, 0.000, 0.500], [0.500, 0.500, 0.500], [0.500, 0.000, 0.000]]}

=====

x) {"formula": "Ba2CuAu", "functional": "meta-GGA SCAN", "state": "PBEsol geometry", "cell": [[-4.197, -0.443, 1.692], [-2.555, -3.577, -1.164], [0.711, -5.492, 6.436]], "species": ["Cu", "Ba", "Au", "Ba"], "fractional_positions": [[0.542, 0.542, 0.374], [0.791, 0.791, 0.628], [0.208, 0.208, 0.375], [0.959, 0.959, 0.122]]}

=====

y) {"formula": "Ba2CuAu", "functional": "meta-GGA SCAN", "state": "PBEsol geometry", "cell": [[4.558, 0.000, 0.000], [0.000, 4.558, 0.000], [-2.279, -2.279, 5.677]], "species": ["Cu", "Ba", "Ba", "Au"], "fractional_positions": [[0.500, 0.500, 0.000], [0.750, 0.250, 0.500], [0.000, 0.000, 0.000], [0.250, 0.750, 0.500]]}

=====

Least stable: y)

=====

w) {"formula": "BaGeAu3", "functional": "meta-GGA SCAN", "state": "PBEsol geometry", "cell": [[5.001, 0.000, 0.000], [0.000, 5.001, 0.000], [0.000, 0.000, 5.001]], "species": ["Au", "Au", "Ge", "Ba", "Au"], "fractional_positions": [[0.000, 0.000, 0.500], [0.500, 0.000, 0.000], [0.000, 0.000, 0.000], [0.500, 0.500, 0.500], [0.000, 0.500, 0.000]]}

=====

x) {"formula": "BaGeAu3", "functional": "meta-GGA SCAN", "state": "PBEsol geometry", "cell": [[-1.348, -3.994, 2.183], [4.496, -1.524, -0.012], [-0.819, 4.953, 3.394]], "species": ["Ba", "Au", "Au", "Au", "Ge"], "fractional_positions": [[0.994, 0.994, 0.988], [0.738, 0.238, 0.475], [0.390, 0.390, 0.780], [0.238, 0.738, 0.475], [0.640, 0.640, 0.281]]}

=====

Least stable: w)

=====

w) {"formula": "BaLiAu2", "functional": "meta-GGA SCAN", "state": "PBEsol geometry", "cell": [[-0.730, -4.206, -1.508], [3.008, -1.974, -2.748], [3.464, -4.122, 3.024]], "species": ["Au", "Ba", "Li", "Au"], "fractional_positions": [[0.700, 0.700, 0.901], [0.500, 0.500, 0.501], [0.311, 0.311, 0.066], [0.969, 0.969, 0.094]]}

=====

x) {"formula": "BaLiAu2", "functional": "meta-GGA SCAN", "state": "PBEsol geometry", "cell": [[-1.563, 2.661, -3.364], [1.459, -4.226, -0.923], [-5.544, -0.003, 2.573]], "species": ["Au", "Ba", "Li", "Au"], "fractional_positions": [[0.797, 0.594, 0.892], [0.000, 0.000, 0.500], [0.500, 0.000, 0.000], [0.203, 0.406, 0.108]]}

=====

Least stable: w)

=====

w) {"formula": "BaMoAu", "functional": "meta-GGA SCAN", "state": "PBEsol geometry", "cell": [[-0.839, 2.806, 1.200], [-1.307, -1.455, 2.489], [7.044, -0.319, 1.499]], "species": ["Mo", "Au", "Ba"], "fractional_positions": [[0.362, 0.362, 0.724], [0.973, 0.973, 0.945], [0.666, 0.666, 0.331]]}

=====

x) {"formula": "BaMoAu", "functional": "meta-GGA SCAN", "state": "PBEsol geometry", "cell": [[4.806, 0.000, 0.000], [2.403, 4.162, 0.000], [2.403, 1.387, 3.924]], "species": ["Au", "Mo", "Ba"], "fractional_positions": [[0.000, 0.000, 0.000], [0.250, 0.250, 0.250], [0.500, 0.500, 0.500]]}

=====

Least stable: x)

=====

w) {"formula": "Ba2OsAu", "functional": "meta-GGA SCAN", "state": "PBEsol geometry", "cell": [[5.211, 0.000, 0.000], [2.605, 4.513, 0.000], [2.605, 1.504, 4.254]], "species": ["Os", "Ba", "Au", "Ba"], "fractional_positions": [[0.250, 0.250, 0.250], [0.750, 0.750, 0.750], [0.500, 0.500, 0.500], [0.000, 0.000, 0.000]]}

=====

x) {"formula": "Ba2OsAu", "functional": "meta-GGA SCAN", "state": "PBEsol geometry", "cell": [[3.279, 0.000, 0.000], [-1.639, 4.206, 0.126], [0.000, -1.307, 8.361]], "species": ["Os", "Au", "Ba", "Ba"], "fractional_positions": [[0.000, 0.000, 0.500], [0.500, 0.000, 0.000], [0.747, 0.494, 0.731], [0.253, 0.506, 0.269]]}

=====

y) {"formula": "Ba2OsAu", "functional": "meta-GGA SCAN", "state": "PBEsol geometry", "cell": [[-2.810, 0.668, -3.485], [2.866, -2.193, -2.732], [-2.913, -5.435, 1.306]], "species": ["Ba", "Ba", "Os", "Au"], "fractional_positions": [[0.500, 0.500, 0.375], [0.000, 0.000, 0.875], [0.000, 0.000, 0.375], [0.500, 0.500, 0.875]]}

=====

Least stable: w)

=====

w) {"formula": "BaOsAu2", "functional": "meta-GGA SCAN", "state": "PBEsol geometry", "cell": [[-1.527, -2.449, 0.493], [4.616, -2.893, -0.079], [-0.994, 3.404, 5.140]], "species": ["Au", "Ba", "Os", "Au"], "fractional_positions": [[0.708, 0.708, 0.416], [0.500, 0.000, 0.000], [0.000, 0.500, 0.000], [0.292, 0.292, 0.584]]}

=====

x) {"formula": "BaOsAu2", "functional": "meta-GGA SCAN", "state": "PBEsol geometry", "cell": [[-1.910, 4.465, 0.798], [-4.883, 0.612, 0.067], [-2.301, 0.970, 4.241]], "species": ["Au", "Os", "Ba", "Au"], "fractional_positions": [[0.750, 0.750, 0.750], [0.250, 0.250, 0.250], [0.500, 0.500, 0.500], [0.000, 0.000, 0.000]]}

=====

Least stable: x)